Material: TbTmTlCo2
Method: DFT, PBE-GGA
State: optimized geometry

## Properties
* SG: Amm2, No. 38

CIF file:
```
data_TbTmTlCo2
_chemical_formula_sum 'Tb1 Tm1 Tl1 Co2'
_cell_length_a 3.783
_cell_length_b 7.301
_cell_length_c 7.301
_cell_angle_alpha 30.33
_cell_angle_beta 90.00
_cell_angle_gamma 90.00
_symmetry_space_group_name_H-M 'P 1'
_symmetry_Int_Tables_number 1
_symmetry_space_group_name_Hall 'P 1'
loop_
_atom_site_label
_atom_site_fract_x
_atom_site_fract_y
_atom_site_fract_z
Tb1 0.000 0.360 0.360
Tl1 0.500 0.002 0.002
Co1 0.500 0.204 0.204
Co2 0.500 0.793 0.793
Tm1 0.000 0.641 0.641
```

---

Material: SmGdB4
Method: DFT, PBE-GGA
State: optimized geometry

## Properties
* relative energy among the computed polymorphs: 0.00 eV per formula unit
* SG: P6/mmm, No. 191

CIF file:
```
data_SmGdB4
_chemical_formula_sum 'Sm1 Gd1 B4'
_cell_length_a 3.315
_cell_length_b 3.315
_cell_length_c 7.965
_cell_angle_alpha 90.00
_cell_angle_beta 90.00
_cell_angle_gamma 120.00
_symmetry_space_group_name_H-M 'P 1'
_symmetry_Int_Tables_number 1
_symmetry_space_group_name_Hall 'P 1'
loop_
_atom_site_label
_atom_site_fract_x
_atom_site_fract_y
_atom_site_fract_z
B1 0.333 0.667 0.254
B2 0.333 0.667 0.746
Sm1 0.000 0.000 0.000
B3 0.667 0.333 0.254
Gd1 0.000 0.000 0.500
B4 0.667 0.333 0.746
```

---

VASP energy / hartree per atom: -0.1995, -0.2372